a) Below is LaDy2Ru after structural relaxation, with properties calculated at the PBE level.

Results
D(E_F)   3.63 states/eV/f.u.
Crystal system   monoclinic

abc: 3.912 6.434 9.386
angles: 90.00 90.00 107.75
Fractional positions:
La1 0.421 0.844 0.250
La2 0.579 0.156 0.750
Dy1 0.147 0.293 0.428
Dy2 0.853 0.707 0.572
Dy3 0.853 0.707 0.928
Dy4 0.147 0.293 0.072
Ru1 0.758 0.516 0.250
Ru2 0.242 0.484 0.750

=====

b) Below is LaDy2Ru after structural relaxation, with properties calculated at the PBE level.

Results
D(E_F)   3.35 states/eV/f.u.
Crystal system   tetragonal

abc: 3.449 3.449 9.261
angles: 90.00 90.00 90.00
Fractional positions:
Ru1 0.500 0.500 0.000
La1 0.500 0.500 0.500
Dy1 0.000 0.000 0.824
Dy2 0.000 0.000 0.176

=====

c) Below is LaDy2Ru after structural relaxation, with properties calculated at the PBE level.

Results
D(E_F)   4.41 states/eV/f.u.
Crystal system   orthorhombic

abc: 6.467 7.291 9.477
angles: 90.00 90.00 90.00
Fractional positions:
La1 0.635 0.550 0.250
La2 0.865 0.050 0.250
La3 0.365 0.450 0.750
La4 0.135 0.950 0.750
Dy1 0.168 0.673 0.067
Dy2 0.332 0.173 0.433
Dy3 0.832 0.327 0.567
Dy4 0.668 0.827 0.933
Dy5 0.832 0.327 0.933
Dy6 0.668 0.827 0.567
Dy7 0.168 0.673 0.433
Dy8 0.332 0.173 0.067
Ru1 0.044 0.376 0.250
Ru2 0.456 0.876 0.250
Ru3 0.956 0.624 0.750
Ru4 0.544 0.124 0.750

=====

d) Below is LaDy2Ru after structural relaxation, with properties calculated at the PBE level.

Results
D(E_F)   5.95 states/eV/f.u.
Crystal system   trigonal

abc: 3.538 3.538 10.953
angles: 80.71 80.71 60.00
Fractional positions:
Ru1 0.500 0.500 0.500
La1 0.000 0.000 0.000
Dy1 0.109 0.109 0.674
Dy2 0.891 0.891 0.326

=====

Stability summary: most stable c), least stable d).

=====

a) Below is LaDyS after structural relaxation, with properties calculated at the PBE level.

Results
D(E_F)   3.14 states/eV/f.u.
Crystal system   orthorhombic

abc: 3.878 5.482 7.994
angles: 90.00 90.00 90.00
Fractional positions:
S1 0.500 0.000 0.615
S2 0.000 0.500 0.385
Dy1 0.000 0.000 0.378
Dy2 0.500 0.500 0.622
La1 0.500 0.500 0.111
La2 0.000 0.000 0.889

=====

b) Below is LaDyS after structural relaxation, with properties calculated at the PBE level.

Results
D(E_F)   1.17 states/eV/f.u.
Crystal system   trigonal

abc: 6.619 3.901 3.901
angles: 120.00 90.00 90.00
Site moments in Bohr magnetons follow the coordinates.
Fractional positions:
S1 0.013 0.000 0.000  0.01
La1 0.737 0.667 0.333  0.14
Dy1 0.249 0.333 0.667  -0.20

=====

Stability summary: most stable a), least stable b).

=====

a) Below is LaDy3S4 after structural relaxation, with properties calculated at the PBE level.

Results
D(E_F)   4.69 states/eV/f.u.
Crystal system   cubic

abc: 5.623 5.623 5.623
angles: 90.00 90.00 90.00
Fractional positions:
La1 0.000 0.000 0.000
Dy1 0.000 0.500 0.500
Dy2 0.500 0.000 0.500
Dy3 0.500 0.500 0.000
S1 0.500 0.000 0.000
S2 0.000 0.500 0.000
S3 0.000 0.000 0.500
S4 0.500 0.500 0.500

=====

b) Below is LaDy3S4 after structural relaxation, with properties calculated at the PBE level.

Results
D(E_F)   5.01 states/eV/f.u.
Crystal system   orthorhombic

abc: 3.930 6.901 6.901
angles: 109.01 90.00 90.00
Fractional positions:
S1 0.000 0.263 0.263
S2 0.500 0.744 0.256
S3 0.000 0.737 0.737
S4 0.500 0.256 0.744
Dy1 0.000 0.000 0.500
Dy2 0.500 0.500 0.500
Dy3 0.000 0.500 0.000
La1 0.500 0.000 0.000

=====

Stability summary: most stable b), least stable a).